Record 1
NaN2O2 | PBE-GGA | relaxed

## Properties
As for the energy above the lowest structure with this stoichiometry: 695 meV per atom. Its density is 2.48 Mg/m³. The value obtained for the raw formation energy is 1.83 eV/atom. The calculation puts the total moment at 0.77 μB/atom. The value obtained for the total DFT energy (no corrections) is -18.72 eV/f.u.

a = 3.693 Å, b = 3.693 Å, c = 4.073 Å
α = 90.00°, β = 90.00°, γ = 90.00°
Positions (direct):
O  0.000  0.000  0.000
Na  0.500  0.500  0.500
N  0.000  0.500  0.000
O  0.000  0.000  0.500
N  0.500  0.000  0.000


Record 2
YSbPdRh | PBE-GGA | relaxed

## Properties
Its density is 9.09 Mg/m³. The value obtained for the raw formation energy is -0.76 eV/atom. The calculation puts the total moment at 0.00 μB/atom. The value obtained for the total DFT energy (no corrections) is -26.17 eV/f.u.

a = 4.770 Å, b = 4.770 Å, c = 4.770 Å
α = 60.00°, β = 60.00°, γ = 60.00°
Positions (direct):
Pd  0.250  0.250  0.250
Sb  0.500  0.500  0.500
Y  0.000  0.000  0.000
Rh  0.750  0.750  0.750


Record 3
Zr4V | PBE-GGA | relaxed

## Properties
The formation energy comes out at 0.5779 eV per atom. As for the energy above the lowest structure with this stoichiometry: 0 meV per atom. Its density is 5.81 Mg/m³. The calculation puts the total moment at 0.00 μB/atom. The value obtained for the total DFT energy (no corrections) is -40.42 eV/f.u.

a = 4.916 Å, b = 4.916 Å, c = 4.916 Å
α = 90.00°, β = 90.00°, γ = 90.00°
Positions (direct):
V  0.500  0.500  0.500
Zr  0.500  0.000  0.500
Zr  0.500  0.500  0.000
Zr  0.000  0.500  0.500
Zr  0.000  0.000  0.000


Record 4
CsP3Se | PBE-GGA | relaxed

## Properties
As for the energy above the lowest structure with this stoichiometry: 0 meV per atom. Its density is 3.89 Mg/m³. The value obtained for the raw formation energy is 0.77 eV/atom. The calculation puts the total moment at 0.00 μB/atom. The value obtained for the total DFT energy (no corrections) is -16.74 eV/f.u.

a = 5.067 Å, b = 5.067 Å, c = 5.067 Å
α = 90.00°, β = 90.00°, γ = 90.00°
Positions (direct):
P  0.500  0.000  0.000
Se  0.000  0.000  0.000
P  0.000  0.500  0.000
P  0.000  0.000  0.500
Cs  0.500  0.500  0.500


Please write out number 1 again, unchanged.
NaN2O2 | PBE-GGA | relaxed

## Properties
As for the energy above the lowest structure with this stoichiometry: 695 meV per atom. Its density is 2.48 Mg/m³. The value obtained for the raw formation energy is 1.83 eV/atom. The calculation puts the total moment at 0.77 μB/atom. The value obtained for the total DFT energy (no corrections) is -18.72 eV/f.u.

a = 3.693 Å, b = 3.693 Å, c = 4.073 Å
α = 90.00°, β = 90.00°, γ = 90.00°
Positions (direct):
O  0.000  0.000  0.000
Na  0.500  0.500  0.500
N  0.000  0.500  0.000
O  0.000  0.000  0.500
N  0.500  0.000  0.000


> Which of these has the highest total moment?

NaN2O2